[1]
LaCeTm: optimized geometry, PBE-GGA.

Structure (POSCAR):
```
LaCeTm
1.0
6.535 0.000 0.000
0.000 3.393 0.000
0.000 0.000 8.491
La Ce Tm
2 2 2
direct
0.250 0.000 0.158
0.750 0.000 0.842
0.250 0.500 0.841
0.750 0.500 0.159
0.000 0.500 0.500
0.500 0.500 0.500
```

Values from the calculation:
- ΔH_f (0 K): 0.23 eV/atom
- Space-group type: No. 51
- Distance to the lowest polymorph of the same formula: 165.5 meV/atom
- Crystal system: orthorhombic

---

[2]
Li2MnVN4: optimized geometry, PBE-GGA.

Structure (POSCAR):
```
Li2MnVN4
1.0
-2.320 2.320 4.207
2.320 -2.320 4.207
2.320 2.320 -4.207
Li Mn V N
2 1 1 4
direct
0.000 0.000 0.000
0.750 0.250 0.500
0.500 0.500 0.000
0.250 0.750 0.500
0.186 0.134 0.567
0.381 0.814 0.948
0.567 0.619 0.433
0.866 0.433 0.052
```

Values from the calculation:
- Space-group type: No. 82
- Crystal system: tetragonal
- Uncorrected formation energy: -4.2 eV per formula unit